Density functional theory data (PBE-GGA) for a geometry-optimized Ce2Sm3PuN6 structure.

a = 6.1660 Å, b = 6.1660 Å, c = 6.1696 Å
α = 99.61°, β = 99.61°, γ = 120.00°
Last column: nearest neighbours and their distance in Å.
Sites, in units of the cell vectors:
N 0.7508 0.7508 0.2393  1 Pu 2.46, 2 Ce 2.49, 3 Sm 2.54-2.58
N 0.5925 0.9208 0.7620  1 Pu 2.45, 2 Ce 2.49, 3 Sm 2.55-2.58
N 0.9208 0.5925 0.7620  1 Pu 2.45, 2 Ce 2.49, 3 Sm 2.55-2.58
N 0.4075 0.0792 0.2380  1 Pu 2.45, 2 Ce 2.49, 3 Sm 2.55-2.58
N 0.2492 0.2492 0.7607  1 Pu 2.46, 2 Ce 2.49, 3 Sm 2.54-2.58
N 0.0792 0.4075 0.2380  1 Pu 2.45, 2 Ce 2.49, 3 Sm 2.55-2.58
Pu 0.0000 0.0000 0.0000  6 N 2.45-2.46
Sm 0.5000 0.5000 0.5000  6 N 2.55-2.58
Sm 0.1667 0.8333 0.5000  6 N 2.54-2.58
Sm 0.8333 0.1667 0.5000  6 N 2.54-2.58
Ce 0.3334 0.6666 0.0000  6 N 2.49
Ce 0.6666 0.3334 0.0000  6 N 2.49

energy = -107.8 eV per formula unit
V = 191.5 Å³/f.u.
spin magnetization = 5.4 μB per formula unit